Crystalline PtW3F at its relaxed geometry. Source: the Alexandria database, functional GGA+U.

a b c (Å): 4.2566 4.2566 4.2566
angles (deg): 90.00 90.00 90.00
Last column: nearest neighbours and their distance in Å.
Space group Pm-3m (No. 221)
Inequivalent atoms, fractional coordinates:
Pt (0.0000, 0.0000, 0.0000)  12 W 3.01
W (0.0000, 0.5000, 0.5000)  2 F 2.13
F (0.5000, 0.5000, 0.5000)  6 W 2.13

Energy above the lowest structure with this stoichiometry ... 0.000 eV/atom
E_tot ... -4.790 eV/atom
Total magnetic moment ... 0.00 μB per cell
Mass density ... 16.5 g cm⁻³